VASP calculation (PBE-GGA) on a relaxed structure of Sc2Ru.

V in Å³/cell: 115.1
Final energy in eV per atom: -7.75
Energy of formation from the pure elements in eV per atom: -0.438
Total magnetic moment in μB per formula unit: 0.00

a = 3.301 Å, b = 7.408 Å, c = 4.828 Å
α = 90.00°, β = 90.00°, γ = 77.13°
Positions (direct):
1 Ru 0.923 0.155 0.250
2 Ru 0.077 0.845 0.750
3 Sc 0.572 0.856 0.250
4 Sc 0.428 0.144 0.750
5 Sc 0.283 0.435 0.250
6 Sc 0.717 0.565 0.750